Entry 1:
VASP calculation (PBE) on a relaxed structure of VCd.

## Properties
Magnetic moment   0.000 μB/f.u.
Energy of formation   0.183 eV/atom

```
data_VCd
_space_group_name_H-M_alt 'I 4/m m m'
_space_group_IT_number 139
_space_group_name_Hall '-I 4 2'
_cell_length_a 9.7946
_cell_length_b 9.7946
_cell_length_c 3.0619
_cell_angle_alpha 90.00
_cell_angle_beta 90.00
_cell_angle_gamma 90.00
loop_
_atom_site_label
_atom_site_type_symbol
_atom_site_fract_x
_atom_site_fract_y
_atom_site_fract_z
_atom_site_occupancy
V1 V 0.0000 0.3606 0.0000 1
Cd1 Cd 0.1541 0.1541 0.5000 1
```

***

Entry 2:
VASP calculation (PBE) on a relaxed structure of VCd.

## Properties
Magnetic moment   0.000 μB/f.u.
Energy of formation   0.171 eV/atom

```
data_VCd
_space_group_name_H-M_alt 'C 1 2/m 1'
_space_group_IT_number 12
_cell_length_a 4.6761
_cell_length_b 3.2119
_cell_length_c 9.2909
_cell_angle_alpha 90.00
_cell_angle_beta 93.03
_cell_angle_gamma 90.00
loop_
_space_group_symop_operation_xyz
'x,y,z'
'-x,-y,-z'
'-x,y,-z'
'x,-y,z'
'x+1/2,y+1/2,z'
'-x+1/2,-y+1/2,-z'
'-x+1/2,y+1/2,-z'
'x+1/2,-y+1/2,z'
loop_
_atom_site_label
_atom_site_type_symbol
_atom_site_fract_x
_atom_site_fract_y
_atom_site_fract_z
_atom_site_occupancy
V1 V 0.2407 0.0000 0.4052 1
Cd1 Cd 0.1988 0.5000 0.1461 1
```

***

Entry 3:
VASP calculation (PBE) on a relaxed structure of VCd.

## Properties
Magnetic moment   0.000 μB/f.u.
Energy of formation   0.319 eV/atom

```
data_VCd
_space_group_name_H-M_alt 'P -1'
_space_group_IT_number 2
_cell_length_a 3.0089
_cell_length_b 4.9368
_cell_length_c 5.4431
_cell_angle_alpha 115.44
_cell_angle_beta 105.65
_cell_angle_gamma 90.03
loop_
_space_group_symop_operation_xyz
'x,y,z'
'-x,-y,-z'
loop_
_atom_site_label
_atom_site_type_symbol
_atom_site_fract_x
_atom_site_fract_y
_atom_site_fract_z
_atom_site_occupancy
V1 V 0.1504 0.4068 0.3081 1
Cd1 Cd 0.3849 0.1318 0.7697 1
```